[1]
Density functional theory data (PBE) for a relaxed structure of BaNi4Au.

## Properties
DFT total energy ... -4.517 eV per atom
Mass density ... 9.60 Mg/m³

a = 5.183 Å, b = 5.183 Å, c = 5.183 Å
α = 60.00°, β = 60.00°, γ = 60.00°
Sites, in units of the cell vectors:
Ba (0.000, 0.000, 0.000)
Ni (0.129, 0.624, 0.624)
Ni (0.624, 0.129, 0.624)
Ni (0.624, 0.624, 0.129)
Ni (0.624, 0.624, 0.624)
Au (0.250, 0.250, 0.250)

=====

[2]
Density functional theory data (PBE) for a relaxed structure of TmCuPdRh.

## Properties
DFT total energy ... -5.931 eV per atom
Mass density ... 11.30 Mg/m³

a = 3.789 Å, b = 4.081 Å, c = 4.197 Å
α = 90.00°, β = 90.00°, γ = 90.00°
Sites, in units of the cell vectors:
Tm (0.000, 0.000, 0.000)
Cu (0.000, 0.500, 0.500)
Pd (0.500, 0.000, 0.500)
Rh (0.500, 0.500, 0.000)

=====

[3]
Density functional theory data (PBE) for a relaxed structure of Eu2AlN.

## Properties
DFT total energy ... -8.502 eV per atom
Mass density ... 5.72 Mg/m³

a = 9.523 Å, b = 9.523 Å, c = 9.523 Å
α = 21.34°, β = 21.34°, γ = 21.34°
Sites, in units of the cell vectors:
Eu (0.116, 0.116, 0.116)
Eu (0.884, 0.884, 0.884)
Al (0.000, 0.000, 0.000)
N (0.500, 0.500, 0.500)

=====

[4]
Density functional theory data (PBE) for a relaxed structure of Pm2Sm5HoTm.

## Properties
DFT total energy ... -4.401 eV per atom
Mass density ... 7.55 Mg/m³

a = 10.206 Å, b = 10.206 Å, c = 10.206 Å
α = 130.25°, β = 130.25°, γ = 73.01°
Sites, in units of the cell vectors:
Pm (0.120, 0.620, 0.741)
Pm (0.380, 0.120, 0.500)
Pm (0.620, 0.880, 0.500)
Pm (0.880, 0.380, 0.259)
Sm (0.000, 0.000, 0.000)
Sm (0.074, 0.142, 0.500)
Sm (0.142, 0.642, 0.068)
Sm (0.358, 0.426, 0.500)
Sm (0.426, 0.926, 0.068)
Sm (0.500, 0.500, 0.000)
Sm (0.574, 0.074, 0.932)
Sm (0.642, 0.574, 0.500)
Sm (0.858, 0.358, 0.932)
Sm (0.926, 0.858, 0.500)
Ho (0.250, 0.250, 0.000)
Ho (0.750, 0.750, 0.000)
Tm (0.250, 0.750, 0.500)
Tm (0.750, 0.250, 0.500)

=====

[5]
Density functional theory data (PBE) for a relaxed structure of MgBe2P.

## Properties
DFT total energy ... -3.390 eV per atom
Mass density ... 2.07 Mg/m³

a = 5.461 Å, b = 5.461 Å, c = 5.461 Å
α = 102.07°, β = 102.07°, γ = 125.59°
Sites, in units of the cell vectors:
Mg (0.000, 0.000, 0.000)
Mg (0.750, 0.250, 0.500)
Be (0.205, 0.125, 0.580)
Be (0.375, 0.795, 0.920)
Be (0.545, 0.625, 0.420)
Be (0.875, 0.455, 0.080)
P (0.250, 0.750, 0.500)
P (0.500, 0.500, 0.000)

=====

[6]
Density functional theory data (PBE) for a relaxed structure of Li2BBr6.

## Properties
DFT total energy ... -2.840 eV per atom
Mass density ... 3.11 Mg/m³

a = 8.920 Å, b = 7.785 Å, c = 8.608 Å
α = 90.00°, β = 115.80°, γ = 90.00°
Sites, in units of the cell vectors:
Li (0.025, 0.110, 0.194)
Li (0.025, 0.390, 0.694)
Li (0.975, 0.610, 0.306)
Li (0.975, 0.890, 0.806)
B (0.500, 0.000, 0.000)
B (0.500, 0.500, 0.500)
Br (0.147, 0.170, 0.969)
Br (0.147, 0.330, 0.469)
Br (0.215, 0.662, 0.872)
Br (0.215, 0.838, 0.372)
Br (0.440, 0.045, 0.777)
Br (0.440, 0.455, 0.277)
Br (0.560, 0.545, 0.723)
Br (0.560, 0.955, 0.223)
Br (0.785, 0.162, 0.628)
Br (0.785, 0.338, 0.128)
Br (0.853, 0.670, 0.531)
Br (0.853, 0.830, 0.031)

=====

- mass density of number 1 (BaNi4Au)?
  9.60 Mg/m³

=====

- Which value of DFT total energy does entry 4 give?
  -4.401 eV per atom